CdAg2MoF8 after structural relaxation. Source: the Alexandria database, functional PBE+U.

Output
uncorrected energy: -4.31 eV per atom
crystal system: triclinic
total magnetic moment: 0.164 μB/atom

The structure in CIF format:
```
data_CdAg2MoF8
_symmetry_space_group_name_H-M 'P -1'
_symmetry_Int_Tables_number 2
_cell_length_a 4.938
_cell_length_b 5.697
_cell_length_c 7.209
_cell_angle_alpha 89.40
_cell_angle_beta 89.56
_cell_angle_gamma 87.14
loop_
_symmetry_equiv_pos_as_xyz
'x,y,z'
'-x,-y,-z'
loop_
_atom_site_label
_atom_site_type_symbol
_atom_site_fract_x
_atom_site_fract_y
_atom_site_fract_z
Cd1 Cd 0.000 0.000 0.000
Ag1 Ag 0.496 0.493 0.754
Mo1 Mo 0.000 0.000 0.500
F1 F 0.161 0.175 0.718
F2 F 0.168 0.175 0.291
F3 F 0.304 0.760 0.500
F4 F 0.318 0.737 0.995
```